[1]
VGa2Ni7P2, optimized geometry, DFT PBE; formation energy from the elements = -0.2562 eV/atom; magnetic moment = 0.0 μB/f.u.; ρ = 6.9 g cm⁻³
1.0
-3.101 1.567 -0.276
-1.266 -2.812 -1.623
-4.583 -5.375 11.234
V Ga Ni P
1 2 7 2
direct
0.000 0.000 0.000
0.880 0.880 0.410
0.120 0.120 0.590
0.500 0.500 0.000
0.389 0.389 0.410
0.611 0.611 0.590
0.966 0.467 0.139
0.467 0.966 0.139
0.533 0.034 0.861
0.034 0.533 0.861
0.559 0.559 0.754
0.441 0.441 0.246

[2]
Sr4HgPd3, optimized geometry, DFT PBE; formation energy from the elements = -0.5827 eV/atom; magnetic moment = 0.0 μB/f.u.; ρ = 6.2 g cm⁻³
1.0
4.364 0.000 0.000
0.000 4.650 0.000
0.000 0.000 11.569
Sr Hg Pd
4 1 3
direct
0.500 0.500 0.373
0.000 0.500 0.849
0.000 0.000 0.146
0.500 0.000 0.635
0.500 0.500 0.070
0.000 0.500 0.573
0.000 0.000 0.429
0.500 0.000 0.926

- ρ of number 2 (Sr4HgPd3)?
  6.2 g cm⁻³

- What is the magnetic moment in the first record?
  0.0 μB/f.u.

- Number 1 is which compound?
  VGa2Ni7P2